[1]
! Tb6AgTe3Se2 | Alexandria via LeMat-Bulk | PBE | relaxed; values from VASP
&SYSTEM
  ibrav = 0, nat = 12, ntyp = 4
/
ATOMIC_SPECIES
Ag 107.87 Ag.upf
Te 127.60 Te.upf
Tb 158.93 Tb.upf
Se 78.96 Se.upf
CELL_PARAMETERS angstrom
7.355 -0.001 -0.002
-3.676 6.370 -0.002
-1.229 -2.128 7.020
ATOMIC_POSITIONS crystal
Ag 0.000 0.000 0.000
Te 0.832 0.168 0.500
Te 0.168 0.832 0.500
Te 0.500 0.500 0.500
Tb 0.589 0.925 0.772
Tb 0.075 0.411 0.228
Tb 0.925 0.589 0.772
Tb 0.741 0.741 0.227
Tb 0.259 0.259 0.773
Tb 0.411 0.075 0.228
Se 0.334 0.666 0.000
Se 0.666 0.334 0.000
! Crystal system ... monoclinic
! E_form (uncorrected) ... -15.66 eV per formula unit
! Raw total energy ... -5.224 eV per atom

***

[2]
! TbAgTeSe | Alexandria via LeMat-Bulk | PBE | relaxed; values from VASP
&SYSTEM
  ibrav = 0, nat = 8, ntyp = 4
/
ATOMIC_SPECIES
Te 127.60 Te.upf
Ag 107.87 Ag.upf
Se 78.96 Se.upf
Tb 158.93 Tb.upf
CELL_PARAMETERS angstrom
4.649 0.000 0.000
2.324 4.026 0.000
2.324 1.342 11.860
ATOMIC_POSITIONS crystal
Te 0.890 0.890 0.329
Te 0.110 0.110 0.671
Ag 0.190 0.190 0.429
Ag 0.810 0.810 0.571
Se 0.696 0.696 0.911
Se 0.304 0.304 0.089
Tb 0.612 0.612 0.163
Tb 0.388 0.388 0.837
! Crystal system ... trigonal
! E_form (uncorrected) ... -4.23 eV per formula unit
! Raw total energy ... -4.585 eV per atom

***

[3]
! TbTlAgSe2 | Alexandria via LeMat-Bulk | PBE | relaxed; values from VASP
&SYSTEM
  ibrav = 0, nat = 10, ntyp = 4
/
ATOMIC_SPECIES
Tb 158.93 Tb.upf
Tl 204.38 Tl.upf
Se 78.96 Se.upf
Ag 107.87 Ag.upf
CELL_PARAMETERS angstrom
5.944 0.000 0.000
0.000 6.757 0.077
0.000 -1.966 7.494
ATOMIC_POSITIONS crystal
Tb 0.514 0.000 0.250
Tb 0.486 0.000 0.750
Tl 0.816 0.500 0.250
Tl 0.184 0.500 0.750
Se 0.681 0.261 0.564
Se 0.319 0.739 0.436
Se 0.681 0.739 0.936
Se 0.319 0.261 0.064
Ag 0.000 0.000 0.500
Ag 0.000 0.000 0.000
! Crystal system ... monoclinic
! E_form (uncorrected) ... -3.75 eV per formula unit
! Raw total energy ... -4.113 eV per atom

***

[4]
! Tb3TlAg2Se6 | Alexandria via LeMat-Bulk | PBE | relaxed; values from VASP
&SYSTEM
  ibrav = 0, nat = 12, ntyp = 4
/
ATOMIC_SPECIES
Ag 107.87 Ag.upf
Se 78.96 Se.upf
Tb 158.93 Tb.upf
Tl 204.38 Tl.upf
CELL_PARAMETERS angstrom
-2.500 3.412 0.074
-6.876 -5.056 0.812
4.564 0.526 9.036
ATOMIC_POSITIONS crystal
Ag 0.790 0.742 0.579
Ag 0.210 0.258 0.421
Se 0.346 0.431 0.691
Se 0.654 0.569 0.309
Se 0.019 0.735 0.037
Se 0.326 0.941 0.652
Se 0.674 0.059 0.348
Se 0.981 0.265 0.963
Tb 0.168 0.810 0.336
Tb 0.500 0.500 0.000
Tb 0.832 0.190 0.664
Tl 0.500 0.000 0.000
! Crystal system ... monoclinic
! E_form (uncorrected) ... -14.59 eV per formula unit
! Raw total energy ... -4.788 eV per atom

***

[5]
! TbTl2Ag2Se4 | Alexandria via LeMat-Bulk | PBE | relaxed; values from VASP
&SYSTEM
  ibrav = 0, nat = 9, ntyp = 4
/
ATOMIC_SPECIES
Ag 107.87 Ag.upf
Tb 158.93 Tb.upf
Tl 204.38 Tl.upf
Se 78.96 Se.upf
CELL_PARAMETERS angstrom
4.133 0.000 0.000
0.000 8.057 0.344
-2.066 -2.888 7.171
ATOMIC_POSITIONS crystal
Ag 0.321 0.015 0.642
Ag 0.679 0.985 0.358
Tb 0.000 0.000 0.000
Tl 0.130 0.565 0.261
Tl 0.870 0.435 0.739
Se 0.198 0.204 0.397
Se 0.489 0.245 0.978
Se 0.802 0.796 0.603
Se 0.511 0.755 0.022
! Crystal system ... monoclinic
! E_form (uncorrected) ... -6.17 eV per formula unit
! Raw total energy ... -3.909 eV per atom

***

[6]
! Tb4TmAgSe8 | Alexandria via LeMat-Bulk | PBE | relaxed; values from VASP
&SYSTEM
  ibrav = 0, nat = 14, ntyp = 4
/
ATOMIC_SPECIES
Se 78.96 Se.upf
Tb 158.93 Tb.upf
Ag 107.87 Ag.upf
Tm 168.93 Tm.upf
CELL_PARAMETERS angstrom
8.411 0.000 0.000
4.206 7.284 0.000
4.206 2.428 6.823
ATOMIC_POSITIONS crystal
Se 0.241 0.770 0.747
Se 0.761 0.761 0.254
Se 0.223 0.761 0.254
Se 0.244 0.244 0.269
Se 0.241 0.241 0.747
Se 0.770 0.241 0.747
Se 0.758 0.758 0.726
Se 0.761 0.223 0.254
Tb 0.624 0.624 0.127
Tb 0.486 0.005 0.505
Tb 0.005 0.486 0.505
Tb 0.005 0.005 0.505
Ag 0.376 0.376 0.873
Tm 0.005 0.005 0.985
! Crystal system ... trigonal
! E_form (uncorrected) ... -23.07 eV per formula unit
! Raw total energy ... -5.485 eV per atom

***

[7]
! Tb2UAg2Se6 | Alexandria via LeMat-Bulk | PBE | relaxed; values from VASP
&SYSTEM
  ibrav = 0, nat = 11, ntyp = 4
/
ATOMIC_SPECIES
Tb 158.93 Tb.upf
Ag 107.87 Ag.upf
Se 78.96 Se.upf
U 238.03 U.upf
CELL_PARAMETERS angstrom
7.292 -0.085 0.453
-3.678 6.297 0.453
-1.000 -1.719 6.512
ATOMIC_POSITIONS crystal
Tb 0.334 0.666 0.500
Tb 0.666 0.334 0.500
Ag 0.115 0.885 0.000
Ag 0.885 0.115 0.000
Se 0.709 0.709 0.732
Se 0.369 0.036 0.729
Se 0.964 0.631 0.271
Se 0.036 0.369 0.729
Se 0.291 0.291 0.268
Se 0.631 0.964 0.271
U 0.000 0.000 0.500
! Crystal system ... monoclinic
! E_form (uncorrected) ... -12.81 eV per formula unit
! Raw total energy ... -5.452 eV per atom

***

[8]
! Tb3VAg3Se8 | Alexandria via LeMat-Bulk | PBE | relaxed; values from VASP
&SYSTEM
  ibrav = 0, nat = 15, ntyp = 4
/
ATOMIC_SPECIES
Se 78.96 Se.upf
Ag 107.87 Ag.upf
Tb 158.93 Tb.upf
V 50.94 V.upf
CELL_PARAMETERS angstrom
-5.914 0.358 5.554
0.186 -6.112 -5.345
5.576 0.425 5.910
ATOMIC_POSITIONS crystal
Se 0.773 0.999 0.273
Se 0.774 0.001 0.727
Se 0.227 0.454 0.727
Se 0.227 0.001 0.727
Se 0.773 0.546 0.273
Se 0.250 0.500 0.251
Se 0.226 0.999 0.273
Se 0.750 0.500 0.749
Ag 0.000 0.500 0.000
Ag 0.500 0.500 0.000
Ag 0.000 0.000 0.000
Tb 0.000 0.500 0.500
Tb 0.500 0.000 0.500
Tb 0.500 0.500 0.500
V 0.000 0.000 0.500
! Crystal system ... monoclinic
! E_form (uncorrected) ... -15.02 eV per formula unit
! Raw total energy ... -4.964 eV per atom

***

[9]
! TbY2Ag3Se6 | Alexandria via LeMat-Bulk | PBE | relaxed; values from VASP
&SYSTEM
  ibrav = 0, nat = 12, ntyp = 4
/
ATOMIC_SPECIES
Tb 158.93 Tb.upf
Y 88.91 Y.upf
Ag 107.87 Ag.upf
Se 78.96 Se.upf
CELL_PARAMETERS angstrom
-3.217 2.477 1.003
-4.622 -3.815 -5.406
0.044 -6.180 6.682
ATOMIC_POSITIONS crystal
Tb 0.500 0.000 0.000
Y 0.833 0.666 0.666
Y 0.167 0.334 0.334
Ag 0.166 0.835 0.332
Ag 0.500 0.500 0.000
Ag 0.834 0.165 0.668
Se 0.334 0.914 0.668
Se 0.332 0.418 0.664
Se 0.999 0.751 0.998
Se 0.001 0.249 0.002
Se 0.666 0.086 0.332
Se 0.668 0.582 0.336
! Crystal system ... monoclinic
! E_form (uncorrected) ... -14.05 eV per formula unit
! Raw total energy ... -5.089 eV per atom

***

[10]
! Tb4YAgSe8 | Alexandria via LeMat-Bulk | PBE | relaxed; values from VASP
&SYSTEM
  ibrav = 0, nat = 14, ntyp = 4
/
ATOMIC_SPECIES
Se 78.96 Se.upf
Tb 158.93 Tb.upf
Y 88.91 Y.upf
Ag 107.87 Ag.upf
CELL_PARAMETERS angstrom
-7.117 2.250 3.889
-4.755 -5.827 3.777
-0.471 -0.254 8.394
ATOMIC_POSITIONS crystal
Se 0.224 0.759 0.258
Se 0.758 0.758 0.725
Se 0.243 0.769 0.744
Se 0.244 0.244 0.269
Se 0.759 0.224 0.258
Se 0.769 0.243 0.744
Se 0.243 0.243 0.744
Se 0.759 0.759 0.258
Tb 0.005 0.486 0.505
Tb 0.625 0.625 0.125
Tb 0.005 0.005 0.505
Tb 0.486 0.005 0.505
Y 0.005 0.005 0.986
Ag 0.375 0.375 0.875
! Crystal system ... trigonal
! E_form (uncorrected) ... -23.15 eV per formula unit
! Raw total energy ... -5.633 eV per atom

***

[11]
! Tb3ZrAg3Se8 | Alexandria via LeMat-Bulk | PBE | relaxed; values from VASP
&SYSTEM
  ibrav = 0, nat = 15, ntyp = 4
/
ATOMIC_SPECIES
Se 78.96 Se.upf
Tb 158.93 Tb.upf
Ag 107.87 Ag.upf
Zr 91.22 Zr.upf
CELL_PARAMETERS angstrom
8.238 0.000 0.000
-4.119 7.133 -0.039
0.000 -4.748 6.627
ATOMIC_POSITIONS crystal
Se 0.238 0.999 0.735
Se 0.250 0.500 0.252
Se 0.239 0.001 0.265
Se 0.750 0.500 0.748
Se 0.238 0.476 0.735
Se 0.762 0.524 0.265
Se 0.762 0.001 0.265
Se 0.761 0.999 0.735
Tb 0.000 0.500 0.500
Tb 0.500 0.000 0.500
Tb 0.500 0.500 0.500
Ag 0.000 0.500 0.000
Ag 0.000 0.000 0.000
Ag 0.500 0.500 0.000
Zr 0.000 0.000 0.500
! Crystal system ... monoclinic
! E_form (uncorrected) ... -17.78 eV per formula unit
! Raw total energy ... -5.110 eV per atom

***

[12]
! TcAg2Se | Alexandria via LeMat-Bulk | PBE | relaxed; values from VASP
&SYSTEM
  ibrav = 0, nat = 4, ntyp = 3
/
ATOMIC_SPECIES
Ag 107.87 Ag.upf
Se 78.96 Se.upf
Tc 98.00 Tc.upf
CELL_PARAMETERS angstrom
-2.660 1.058 0.405
0.151 -2.638 -1.172
-0.226 -4.034 9.051
ATOMIC_POSITIONS crystal
Ag 0.500 0.500 0.229
Ag 0.000 0.000 0.984
Se 0.000 0.000 0.547
Tc 0.500 0.500 0.740
! Crystal system ... orthorhombic
! E_form (uncorrected) ... 1.39 eV per formula unit
! Raw total energy ... -4.540 eV per atom